First-principles (GGA-PBE) data for a relaxed Tb3AlNi8 crystal, as listed in OQMD via LeMat-Bulk.

abc: 5.069 5.069 16.006
angles: 90.00 90.00 120.00
Positions (direct):
Al 0.000 0.000 0.000
Al 0.000 0.000 0.500
Ni 0.169 0.338 0.126
Ni 0.169 0.831 0.126
Ni 0.662 0.831 0.126
Ni 0.000 0.000 0.250
Ni 0.333 0.667 0.250
Ni 0.169 0.831 0.374
Ni 0.662 0.831 0.374
Ni 0.169 0.338 0.374
Ni 0.831 0.662 0.626
Ni 0.338 0.169 0.626
Ni 0.831 0.169 0.626
Ni 0.000 0.000 0.750
Ni 0.667 0.333 0.750
Ni 0.338 0.169 0.874
Ni 0.831 0.169 0.874
Ni 0.831 0.662 0.874
Tb 0.667 0.333 0.045
Tb 0.667 0.333 0.250
Tb 0.667 0.333 0.455
Tb 0.333 0.667 0.545
Tb 0.333 0.667 0.750
Tb 0.333 0.667 0.955

Summary:
- ρ (g/cm³) = 9.08
- V (Å³/atom) = 14.8
- VASP energy (eV per cell) = -134.94
- symmetry = No. 194
- crystal system = hexagonal
- magnetization (μB per formula unit) = 0.01

First-principles (GGA-PBE) data for a relaxed Er2ZnHgAs2O2 crystal, as listed in OQMD via LeMat-Bulk.

abc: 3.991 3.991 8.984
angles: 90.00 90.00 90.00
Positions (direct):
As 0.000 0.500 0.203
As 0.500 0.000 0.797
Er 0.500 0.000 0.384
Er 0.000 0.500 0.616
Hg 0.000 0.000 0.000
O 0.000 0.000 0.500
O 0.500 0.500 0.500
Zn 0.500 0.500 0.000

Summary:
- ρ (g/cm³) = 9.08
- V (Å³/atom) = 17.9
- VASP energy (eV per cell) = -43.24
- symmetry = No. 115
- crystal system = tetragonal
- magnetization (μB per formula unit) = 0.00

First-principles (GGA-PBE) data for a relaxed GdTmMg2Ag4 crystal, as listed in OQMD via LeMat-Bulk.

abc: 4.904 4.904 6.940
angles: 90.00 90.00 90.00
Positions (direct):
Ag 0.500 0.000 0.256
Ag 0.000 0.500 0.256
Ag 0.500 0.000 0.744
Ag 0.000 0.500 0.744
Gd 0.000 0.000 0.000
Mg 0.500 0.500 0.000
Mg 0.000 0.000 0.500
Tm 0.500 0.500 0.500

Summary:
- ρ (g/cm³) = 8.02
- V (Å³/atom) = 20.9
- VASP energy (eV per cell) = -25.97
- symmetry = No. 123
- crystal system = tetragonal
- magnetization (μB per formula unit) = 0.01